Record 1
VASP calculation (PBE-GGA) on an optimized crystal structure of LiTbCeSi.

Cell and atoms, written as POSCAR:
```
LiTbCeSi
1.0
7.125 0.000 0.000
0.000 7.125 0.000
0.000 0.000 7.125
Li Tb Ce Si
4 4 4 4
direct
0.000 0.000 0.000
0.000 0.500 0.500
0.500 0.000 0.500
0.500 0.500 0.000
0.250 0.250 0.250
0.250 0.750 0.750
0.750 0.250 0.750
0.750 0.750 0.250
0.250 0.250 0.750
0.250 0.750 0.250
0.750 0.250 0.250
0.750 0.750 0.750
0.000 0.000 0.500
0.000 0.500 0.000
0.500 0.000 0.000
0.500 0.500 0.500
```

- theoretical density (g/cm3) = 6.14
- electronic total energy (eV/atom) = -4.742
- size of the total moment (μB/cell) = 3.54
- energy relative to the elements, uncorrected (meV/atom) = -267

Record 2
VASP calculation (PBE-GGA) on an optimized crystal structure of PmNdS3.

Cell and atoms, written as POSCAR:
```
PmNdS3
1.0
3.454 1.994 6.838
-3.454 1.994 6.838
0.000 -3.989 6.838
Pm Nd S
2 2 6
direct
0.152 0.152 0.152
0.848 0.848 0.848
0.349 0.349 0.349
0.651 0.651 0.651
0.044 0.453 0.754
0.246 0.547 0.956
0.453 0.754 0.044
0.547 0.956 0.246
0.754 0.044 0.453
0.956 0.246 0.547
```

- theoretical density (g/cm3) = 4.53
- electronic total energy (eV/atom) = -6.302
- size of the total moment (μB/cell) = 0.00
- energy relative to the elements, uncorrected (meV/atom) = -1922

Record 3
VASP calculation (PBE-GGA) on an optimized crystal structure of ZrBe2Bi.

Cell and atoms, written as POSCAR:
```
ZrBe2Bi
1.0
7.184 0.000 0.000
0.000 7.184 0.000
0.000 0.000 5.773
Zr Be Bi
4 8 4
direct
0.000 0.000 0.000
0.000 0.500 0.250
0.500 0.000 0.750
0.500 0.500 0.500
0.237 0.250 0.625
0.250 0.737 0.875
0.250 0.763 0.375
0.263 0.250 0.125
0.737 0.750 0.125
0.750 0.237 0.375
0.750 0.263 0.875
0.763 0.750 0.625
0.000 0.000 0.500
0.000 0.500 0.750
0.500 0.000 0.250
0.500 0.500 0.000
```

- theoretical density (g/cm3) = 7.09
- electronic total energy (eV/atom) = -4.466
- size of the total moment (μB/cell) = 0.00

Record 4
VASP calculation (PBE-GGA) on an optimized crystal structure of SmY3Ho2.

Cell and atoms, written as POSCAR:
```
SmY3Ho2
1.0
8.884 -1.754 0.000
8.884 1.754 0.000
-6.551 0.000 12.623
Sm Y Ho
2 6 4
direct
0.061 0.061 0.145
0.939 0.939 0.855
0.100 0.100 0.526
0.240 0.240 0.795
0.461 0.461 0.288
0.539 0.539 0.712
0.760 0.760 0.205
0.900 0.900 0.474
0.158 0.158 0.968
0.318 0.318 0.616
0.682 0.682 0.384
0.842 0.842 0.032
```

- theoretical density (g/cm3) = 6.30
- electronic total energy (eV/atom) = -5.428
- size of the total moment (μB/cell) = 0.00

> theoretical density of number 3 (ZrBe2Bi)?

7.09 g/cm3